A:
Compound: Sm2ZnCo
Source: Alexandria
Functional: GGA-PBE
Structure: relaxed

a b c (Å): 3.860 3.860 9.723
angles (deg): 78.55 78.55 60.00
Atoms (fractional coordinates):
Zn  0.000  0.000  0.000
Co  0.500  0.500  0.500
Sm  0.114  0.114  0.658
Sm  0.886  0.886  0.342

total magnetic moment	0.00	Bohr magnetons per cell
mass density	5.8	Mg/m³
DOS at the Fermi energy	3.186	states/eV/cell

---

B:
Compound: Sm2ZnCo
Source: Alexandria
Functional: GGA-PBE
Structure: relaxed

a b c (Å): 3.869 6.148 8.185
angles (deg): 109.33 90.00 90.00
Atoms (fractional coordinates):
Sm  0.750  0.213  0.446
Sm  0.250  0.787  0.554
Sm  0.250  0.791  0.090
Sm  0.750  0.209  0.910
Zn  0.250  0.377  0.217
Zn  0.750  0.623  0.783
Co  0.750  0.675  0.288
Co  0.250  0.325  0.712

total magnetic moment	0.00	Bohr magnetons per cell
mass density	7.7	Mg/m³
DOS at the Fermi energy	7.295	states/eV/cell

---

Tell me which of them is the most stable. Sure, it is B.

---

A:
Compound: Sm8ZnCo2
Source: Alexandria
Functional: GGA-PBE
Structure: relaxed

a b c (Å): 5.581 7.929 7.929
angles (deg): 115.57 98.17 98.17
Atoms (fractional coordinates):
Sm  0.567  0.339  0.083
Sm  0.567  0.083  0.339
Sm  0.191  0.390  0.390
Sm  0.000  0.244  0.763
Sm  0.000  0.763  0.244
Sm  0.809  0.616  0.616
Sm  0.432  0.923  0.667
Sm  0.432  0.667  0.923
Zn  0.002  0.003  0.003
Co  0.499  0.711  0.295
Co  0.499  0.295  0.711

total magnetic moment	0.00	Bohr magnetons per cell
mass density	7.5	Mg/m³
DOS at the Fermi energy	14.080	states/eV/cell

---

B:
Compound: Sm8ZnCo2
Source: Alexandria
Functional: GGA-PBE
Structure: relaxed

a b c (Å): 5.165 6.727 9.415
angles (deg): 109.69 105.92 90.00
Atoms (fractional coordinates):
Sm  0.404  0.513  0.808
Sm  0.682  0.012  0.364
Sm  0.804  0.652  0.608
Sm  0.966  0.214  0.933
Sm  0.196  0.348  0.392
Sm  0.318  0.988  0.636
Sm  0.596  0.487  0.192
Sm  0.034  0.786  0.067
Zn  0.500  0.000  0.000
Co  0.834  0.277  0.667
Co  0.166  0.723  0.333

total magnetic moment	0.00	Bohr magnetons per cell
mass density	7.8	Mg/m³
DOS at the Fermi energy	12.878	states/eV/cell

---

Tell me which of them is the most stable. Sure, it is B.

---

A:
Compound: SmZrCo2
Source: Alexandria
Functional: GGA-PBE
Structure: relaxed

a b c (Å): 4.680 4.680 4.680
angles (deg): 60.00 60.00 60.00
Each line ends with the local moment (μB).
Atoms (fractional coordinates):
Co  0.250  0.250  0.250  0.90
Co  0.750  0.750  0.750  0.90
Zr  0.500  0.500  0.500  -0.19
Sm  0.000  0.000  0.000  -0.11

total magnetic moment	1.31	Bohr magnetons per cell
mass density	8.2	Mg/m³
DOS at the Fermi energy	2.894	states/eV/cell

---

B:
Compound: SmZrCo2
Source: Alexandria
Functional: GGA-PBE
Structure: relaxed

a b c (Å): 3.257 3.257 6.760
angles (deg): 90.00 90.00 90.00
Each line ends with the local moment (μB).
Atoms (fractional coordinates):
Co  0.000  0.000  0.786  0.41
Co  0.000  0.000  0.214  0.41
Zr  0.500  0.500  0.000  -0.11
Sm  0.500  0.500  0.500  -0.06

total magnetic moment	0.53	Bohr magnetons per cell
mass density	8.3	Mg/m³
DOS at the Fermi energy	2.877	states/eV/cell

---

Tell me which of them is the most stable. Sure, it is B.

---

A:
Compound: SmZr2Co
Source: Alexandria
Functional: GGA-PBE
Structure: relaxed

a b c (Å): 3.278 3.278 8.063
angles (deg): 90.00 90.00 90.00
Atoms (fractional coordinates):
Co  0.500  0.500  0.000
Zr  0.000  0.000  0.814
Zr  0.000  0.000  0.186
Sm  0.500  0.500  0.500

total magnetic moment	0.00	Bohr magnetons per cell
mass density	7.5	Mg/m³
DOS at the Fermi energy	6.982	states/eV/cell

---

B:
Compound: SmZr2Co
Source: Alexandria
Functional: GGA-PBE
Structure: relaxed

a b c (Å): 3.361 3.361 10.075
angles (deg): 80.40 80.40 60.00
Atoms (fractional coordinates):
Co  0.500  0.500  0.500
Zr  0.112  0.112  0.664
Zr  0.888  0.888  0.336
Sm  0.000  0.000  0.000

total magnetic moment	0.00	Bohr magnetons per cell
mass density	6.7	Mg/m³
DOS at the Fermi energy	4.345	states/eV/cell

---

Tell me which of them is the most stable. Sure, it is A.

---

A:
Compound: TaCo3Sn
Source: Alexandria
Functional: GGA-PBE
Structure: relaxed

a b c (Å): 4.501 4.501 4.501
angles (deg): 90.00 90.00 90.00
Each line ends with the local moment (μB).
Atoms (fractional coordinates):
Co  0.000  0.500  0.000  0.20
Co  0.000  0.000  0.500  0.21
Co  0.500  0.000  0.000  0.20
Sn  0.500  0.500  0.500  0.02
Ta  0.000  0.000  0.000  -0.08

total magnetic moment	0.56	Bohr magnetons per cell
mass density	8.7	Mg/m³
DOS at the Fermi energy	6.873	states/eV/cell

---

B:
Compound: TaCo3Sn
Source: Alexandria
Functional: GGA-PBE
Structure: relaxed

a b c (Å): 4.498 4.498 4.498
angles (deg): 90.00 90.00 90.00
Each line ends with the local moment (μB).
Atoms (fractional coordinates):
Co  0.000  0.500  0.000  1.21
Co  0.000  0.000  0.500  1.29
Co  0.500  0.000  0.000  1.41
Sn  0.000  0.000  0.000  -0.08
Ta  0.500  0.500  0.500  0.14

total magnetic moment	4.02	Bohr magnetons per cell
mass density	8.7	Mg/m³
DOS at the Fermi energy	4.175	states/eV/cell

---

Tell me which of them is the most stable. Sure, it is A.

---

A:
Compound: TaCoSn3
Source: Alexandria
Functional: GGA-PBE
Structure: relaxed

a b c (Å): 5.358 5.358 5.358
angles (deg): 90.00 90.00 90.00
Each line ends with the local moment (μB).
Atoms (fractional coordinates):
Co  0.500  0.500  0.500  2.33
Sn  0.000  0.500  0.000  0.02
Sn  0.000  0.000  0.500  0.06
Sn  0.500  0.000  0.000  0.02
Ta  0.000  0.000  0.000  0.30

total magnetic moment	3.10	Bohr magnetons per cell
mass density	6.4	Mg/m³
DOS at the Fermi energy	9.392	states/eV/cell

---

B:
Compound: TaCoSn3
Source: Alexandria
Functional: GGA-PBE
Structure: relaxed

a b c (Å): 4.827 4.827 4.827
angles (deg): 90.00 90.00 90.00
Atoms (fractional coordinates):
Co  0.000  0.000  0.000
Sn  0.000  0.500  0.000
Sn  0.000  0.000  0.500
Sn  0.500  0.000  0.000
Ta  0.500  0.500  0.500

total magnetic moment	0.00	Bohr magnetons per cell
mass density	8.8	Mg/m³
DOS at the Fermi energy	2.645	states/eV/cell

---

Tell me which of them is the most stable. Sure, it is B.

---

A:
Compound: Tb3CoSn
Source: Alexandria
Functional: GGA-PBE
Structure: relaxed

a b c (Å): 4.337 7.997 8.309
angles (deg): 116.91 90.00 90.00
Each line ends with the local moment (μB).
Atoms (fractional coordinates):
Tb  0.750  0.658  0.417  0.00
Tb  0.250  0.342  0.583  0.00
Tb  0.750  0.323  0.899  0.03
Tb  0.250  0.952  0.777  -0.02
Tb  0.250  0.677  0.101  0.03
Tb  0.750  0.048  0.223  -0.02
Co  0.250  0.957  0.445  0.82
Co  0.750  0.043  0.555  0.82
Sn  0.250  0.326  0.190  -0.01
Sn  0.750  0.674  0.810  -0.01

total magnetic moment	1.75	Bohr magnetons per cell
mass density	8.5	Mg/m³
DOS at the Fermi energy	9.561	states/eV/cell

---

B:
Compound: Tb3CoSn
Source: Alexandria
Functional: GGA-PBE
Structure: relaxed

a b c (Å): 5.125 5.125 5.125
angles (deg): 90.00 90.00 90.00
Atoms (fractional coordinates):
Co  0.000  0.000  0.000
Tb  0.000  0.500  0.000
Tb  0.000  0.000  0.500
Tb  0.500  0.000  0.000
Sn  0.500  0.500  0.500

total magnetic moment	0.00	Bohr magnetons per cell
mass density	8.1	Mg/m³
DOS at the Fermi energy	4.315	states/eV/cell

---

Tell me which of them is the most stable. Sure, it is A.

---

A:
Compound: Tb2CoSn
Source: Alexandria
Functional: GGA-PBE
Structure: relaxed

a b c (Å): 6.100 8.089 8.948
angles (deg): 116.87 90.00 90.00
Atoms (fractional coordinates):
Tb  0.750  0.076  0.152
Tb  0.250  0.424  0.848
Tb  0.250  0.924  0.848
Tb  0.750  0.576  0.152
Tb  0.740  0.625  0.751
Tb  0.240  0.875  0.249
Tb  0.260  0.375  0.249
Tb  0.760  0.125  0.751
Co  0.705  0.447  0.395
Co  0.205  0.053  0.605
Co  0.295  0.553  0.605
Co  0.795  0.947  0.395
Sn  0.500  0.229  0.500
Sn  0.000  0.271  0.500
Sn  0.500  0.771  0.500
Sn  0.000  0.729  0.500

total magnetic moment	0.00	Bohr magnetons per cell
mass density	8.4	Mg/m³
DOS at the Fermi energy	19.635	states/eV/cell

---

B:
Compound: Tb2CoSn
Source: Alexandria
Functional: GGA-PBE
Structure: relaxed

a b c (Å): 3.713 3.713 9.721
angles (deg): 78.99 78.99 60.00
Atoms (fractional coordinates):
Co  0.500  0.500  0.500
Tb  0.112  0.112  0.663
Tb  0.888  0.888  0.337
Sn  0.000  0.000  0.000

total magnetic moment	0.00	Bohr magnetons per cell
mass density	7.3	Mg/m³
DOS at the Fermi energy	3.068	states/eV/cell

---

Tell me which of them is the most stable. Sure, it is A.

---

A:
Compound: Tb4CoSn2
Source: Alexandria
Functional: GGA-PBE
Structure: relaxed

a b c (Å): 4.893 4.893 8.954
angles (deg): 105.86 105.86 90.00
Atoms (fractional coordinates):
Co  0.000  0.000  0.000
Tb  0.826  0.826  0.653
Tb  0.174  0.174  0.347
Tb  0.000  0.500  0.000
Tb  0.500  0.000  0.000
Sn  0.638  0.638  0.277
Sn  0.362  0.362  0.723

total magnetic moment	0.00	Bohr magnetons per cell
mass density	7.8	Mg/m³
DOS at the Fermi energy	3.581	states/eV/cell

---

B:
Compound: Tb4CoSn2
Source: Alexandria
Functional: GGA-PBE
Structure: relaxed

a b c (Å): 4.541 8.552 7.633
angles (deg): 135.93 107.31 90.00
Atoms (fractional coordinates):
Tb  0.931  0.209  0.863
Tb  0.069  0.791  0.137
Tb  0.667  0.273  0.333
Tb  0.333  0.727  0.667
Co  0.000  0.000  0.000
Sn  0.650  0.637  0.301
Sn  0.350  0.363  0.699

total magnetic moment	0.00	Bohr magnetons per cell
mass density	8.3	Mg/m³
DOS at the Fermi energy	5.808	states/eV/cell

---

Tell me which of them is the most stable. Sure, it is B.

---

A:
Compound: Co3TcSn
Source: Alexandria
Functional: GGA-PBE
Structure: relaxed

a b c (Å): 4.577 4.577 4.577
angles (deg): 90.00 90.00 90.00
Each line ends with the local moment (μB).
Atoms (fractional coordinates):
Co  0.000  0.500  0.000  1.35
Co  0.000  0.000  0.500  1.42
Co  0.500  0.000  0.000  1.48
Sn  0.000  0.000  0.000  -0.13
Tc  0.500  0.500  0.500  2.98

total magnetic moment	7.24	Bohr magnetons per cell
mass density	6.8	Mg/m³
DOS at the Fermi energy	6.582	states/eV/cell

---

B:
Compound: Co3TcSn
Source: Alexandria
Functional: GGA-PBE
Structure: relaxed

a b c (Å): 4.442 4.442 4.442
angles (deg): 90.00 90.00 90.00
Each line ends with the local moment (μB).
Atoms (fractional coordinates):
Co  0.000  0.500  0.000  0.52
Co  0.000  0.000  0.500  0.54
Co  0.500  0.000  0.000  0.49
Sn  0.500  0.500  0.500  0.01
Tc  0.000  0.000  0.000  0.03

total magnetic moment	1.61	Bohr magnetons per cell
mass density	7.5	Mg/m³
DOS at the Fermi energy	9.317	states/eV/cell

---

Tell me which of them is the most stable. Sure, it is B.

---

A:
Compound: CoTcSn2
Source: Alexandria
Functional: GGA-PBE
Structure: relaxed

a b c (Å): 4.541 4.541 4.541
angles (deg): 60.00 60.00 60.00
Atoms (fractional coordinates):
Co  0.000  0.000  0.000
Sn  0.250  0.250  0.250
Sn  0.750  0.750  0.750
Tc  0.500  0.500  0.500

total magnetic moment	0.00	Bohr magnetons per cell
mass density	9.9	Mg/m³
DOS at the Fermi energy	1.306	states/eV/cell

---

B:
Compound: CoTcSn2
Source: Alexandria
Functional: GGA-PBE
Structure: relaxed

a b c (Å): 3.040 3.040 9.521
angles (deg): 80.81 80.81 60.00
Each line ends with the local moment (μB).
Atoms (fractional coordinates):
Co  0.500  0.500  0.500  0.80
Sn  0.096  0.096  0.711  -0.01
Sn  0.904  0.904  0.289  -0.01
Tc  0.000  0.000  0.000  1.01

total magnetic moment	1.89	Bohr magnetons per cell
mass density	8.7	Mg/m³
DOS at the Fermi energy	4.992	states/eV/cell

---

Tell me which of them is the most stable. Sure, it is A.

---

A:
Compound: CoTcSn3
Source: Alexandria
Functional: GGA-PBE
Structure: relaxed

a b c (Å): 4.845 4.845 4.845
angles (deg): 90.00 90.00 90.00
Each line ends with the local moment (μB).
Atoms (fractional coordinates):
Co  0.000  0.000  0.000  -0.34
Sn  0.000  0.500  0.000  -0.03
Sn  0.000  0.000  0.500  -0.02
Sn  0.500  0.000  0.000  -0.01
Tc  0.500  0.500  0.500  2.65

total magnetic moment	2.52	Bohr magnetons per cell
mass density	7.5	Mg/m³
DOS at the Fermi energy	5.492	states/eV/cell

---

B:
Compound: CoTcSn3
Source: Alexandria
Functional: GGA-PBE
Structure: relaxed

a b c (Å): 5.135 5.135 5.135
angles (deg): 90.00 90.00 90.00
Each line ends with the local moment (μB).
Atoms (fractional coordinates):
Co  0.500  0.500  0.500  2.08
Sn  0.000  0.500  0.000  0.00
Sn  0.000  0.000  0.500  0.00
Sn  0.500  0.000  0.000  0.00
Tc  0.000  0.000  0.000  -0.05

total magnetic moment	2.00	Bohr magnetons per cell
mass density	6.3	Mg/m³
DOS at the Fermi energy	10.471	states/eV/cell

---

Tell me which of them is the most stable. Sure, it is A.

---

A:
Compound: CoSnTe
Source: Alexandria
Functional: GGA-PBE
Structure: relaxed

a b c (Å): 5.022 6.853 4.930
angles (deg): 68.95 90.03 65.21
Atoms (fractional coordinates):
Co  0.318  0.758  0.621
Co  0.682  0.242  0.379
Sn  0.811  0.796  0.602
Sn  0.189  0.204  0.398
Te  0.515  0.310  0.845
Te  0.485  0.690  0.155

total magnetic moment	0.00	Bohr magnetons per cell
mass density	7.2	Mg/m³
DOS at the Fermi energy	2.629	states/eV/cell

---

B:
Compound: CoSnTe
Source: Alexandria
Functional: GGA-PBE
Structure: relaxed

a b c (Å): 6.604 3.115 7.272
angles (deg): 115.24 89.98 90.00
Each line ends with the local moment (μB).
Atoms (fractional coordinates):
Co  0.716  0.421  0.904  0.15
Co  0.076  0.921  0.404  0.15
Sn  0.896  0.671  0.654  -0.01
Sn  0.896  0.171  0.154  -0.01
Te  0.395  0.671  0.153  0.00
Te  0.396  0.171  0.653  0.00

total magnetic moment	0.27	Bohr magnetons per cell
mass density	7.5	Mg/m³
DOS at the Fermi energy	4.265	states/eV/cell

---

Tell me which of them is the most stable. Sure, it is A.